Version a
# PdBr4N2

An optimized crystal structure of PdBr4N2 (PBE-GGA, Alexandria).

## Properties
For the density, the calculation gives 3.42 g/cm3.

a b c (Å): 3.664 7.107 8.741
angles (deg): 80.97 89.15 78.62
Space group P-1 (No. 2)
Unique sites:
1 Pd 0.000 0.000 0.000 [1 per cell]
2 Br 0.134 0.618 0.352 [2 per cell]
3 Br 0.439 0.146 0.135 [2 per cell]
4 N 0.171 0.540 0.650 [2 per cell]

Version b
# PdBr4N2

An optimized crystal structure of PdBr4N2 (PBE-GGA, Alexandria).

## Properties
For the density, the calculation gives 4.21 g/cm3.

a b c (Å): 5.167 5.167 13.399
angles (deg): 90.00 90.00 90.00
Space group I4/mmm (No. 139)
Unique sites:
1 Pd 0.000 0.000 0.000 [2 per cell]
2 Br 0.000 0.000 0.251 [4 per cell]
3 Br 0.000 0.500 0.000 [4 per cell]
4 N 0.000 0.000 0.385 [4 per cell]

Last place for stability: version b